Entry 1:
Ni2MoIr: single point on PBEsol structure, meta-GGA SCAN.

a = 2.669 Å, b = 3.639 Å, c = 5.177 Å
α = 90.00°, β = 90.00°, γ = 90.00°
Positions (direct):
1 Ni 0.500 0.000 0.013
2 Ni 0.000 0.500 0.232
3 Mo 0.000 0.500 0.760
4 Ir 0.500 0.000 0.495

Summary:
E, eV for the cell shown: -138.8
Energy of formation from the pure elements, eV/atom: -0.11
Magnetization, μB/cell: 0.0
DOS at the Fermi energy, states/eV/f.u.: 3.2

***

Entry 2:
NiMo2Ir: single point on PBEsol structure, meta-GGA SCAN.

a = 3.751 Å, b = 3.751 Å, c = 3.883 Å
α = 90.00°, β = 90.00°, γ = 90.00°
Positions (direct):
1 Ni 0.500 0.500 0.500
2 Mo 0.000 0.500 0.000
3 Mo 0.500 0.000 0.000
4 Ir 0.000 0.000 0.500

Summary:
E, eV for the cell shown: -157.8
Energy of formation from the pure elements, eV/atom: -0.19
Magnetization, μB/cell: 0.0
DOS at the Fermi energy, states/eV/f.u.: 1.8

***

Entry 3:
Ni2MoIr: single point on PBEsol structure, meta-GGA SCAN.

a = 3.659 Å, b = 3.659 Å, c = 4.539 Å
α = 113.77°, β = 113.77°, γ = 90.00°
Positions (direct):
1 Ni 0.500 0.500 0.000
2 Ni 0.750 0.250 0.500
3 Mo 0.250 0.750 0.500
4 Ir 0.000 0.000 0.000

Summary:
E, eV for the cell shown: -139.1
Energy of formation from the pure elements, eV/atom: -0.19
Magnetization, μB/cell: 0.0
DOS at the Fermi energy, states/eV/f.u.: 2.9

***

Entry 4:
NiMo2Ir: single point on PBEsol structure, meta-GGA SCAN.

a = 2.701 Å, b = 4.305 Å, c = 4.719 Å
α = 90.00°, β = 90.00°, γ = 90.00°
Positions (direct):
1 Ni 0.500 0.000 0.548
2 Mo 0.000 0.000 0.041
3 Mo 0.000 0.500 0.697
4 Ir 0.500 0.500 0.214

Summary:
E, eV for the cell shown: -157.8
Energy of formation from the pure elements, eV/atom: -0.20
Magnetization, μB/cell: 0.0
DOS at the Fermi energy, states/eV/f.u.: 2.7

***

Entry 5:
NiMo2Ir: single point on PBEsol structure, meta-GGA SCAN.

a = 2.690 Å, b = 3.855 Å, c = 5.278 Å
α = 90.00°, β = 90.00°, γ = 90.00°
Positions (direct):
1 Ni 0.500 0.500 0.000
2 Mo 0.000 0.000 0.755
3 Mo 0.000 0.000 0.245
4 Ir 0.500 0.500 0.500

Summary:
E, eV for the cell shown: -157.8
Energy of formation from the pure elements, eV/atom: -0.19
Magnetization, μB/cell: 0.0
DOS at the Fermi energy, states/eV/f.u.: 2.6

***

Entry 6:
NiMo2Ir: single point on PBEsol structure, meta-GGA SCAN.

a = 3.739 Å, b = 3.739 Å, c = 4.724 Å
α = 113.31°, β = 113.31°, γ = 90.00°
Positions (direct):
1 Ni 0.000 0.000 0.000
2 Mo 0.750 0.250 0.500
3 Mo 0.250 0.750 0.500
4 Ir 0.500 0.500 0.000

Summary:
E, eV for the cell shown: -157.7
Energy of formation from the pure elements, eV/atom: -0.17
Magnetization, μB/cell: 0.0
DOS at the Fermi energy, states/eV/f.u.: 2.2

***

Entry 7:
Ni2MoIr: single point on PBEsol structure, meta-GGA SCAN.

a = 3.669 Å, b = 3.669 Å, c = 4.527 Å
α = 113.91°, β = 113.91°, γ = 90.00°
Positions (direct):
1 Ni 0.750 0.250 0.500
2 Ni 0.250 0.750 0.500
3 Mo 0.000 0.000 0.000
4 Ir 0.500 0.500 0.000

Summary:
E, eV for the cell shown: -138.7
Energy of formation from the pure elements, eV/atom: -0.09
Magnetization, μB/cell: 0.0
DOS at the Fermi energy, states/eV/f.u.: 4.2

***

Entry 8:
Ni2MoIr: single point on PBEsol structure, meta-GGA SCAN.

a = 2.635 Å, b = 2.635 Å, c = 8.604 Å
α = 81.19°, β = 81.19°, γ = 60.00°
Each line ends with the local moment (μB).
Positions (direct):
1 Ir 0.500 0.500 0.500  0.38
2 Mo 0.000 0.000 0.000  0.01
3 Ni 0.250 0.250 0.251  0.58
4 Ni 0.750 0.750 0.749  0.58

Summary:
E, eV for the cell shown: -137.8
Energy of formation from the pure elements, eV/atom: 0.13
Magnetization, μB/cell: 1.4
DOS at the Fermi energy, states/eV/f.u.: 4.2